Entry from the Alexandria database: NaHfGa after structural relaxation (PBE).

It has space group P4/nmm (No. 129, origin choice 2), with a = 3.1728 Å, b = 3.1728 Å, c = 13.5452 Å, α = 90.00°, β = 90.00° and γ = 90.00°. The distinct sites, in fractional coordinates, are Na at (0.2500, 0.2500, 0.1161), Hf at (0.2500, 0.2500, 0.4206) and Ga at (0.2500, 0.2500, 0.7242).

Its density of states at the Fermi level is 1.82 states/eV/f.u. For the energy above the most stable polymorph in this dataset, the calculation gives 1.4 kJ per mole of atoms. The value obtained for the electronic total energy is -4.881 eV/atom. The volume is 136 Å³/cell.